No. 1
The following is a PBE-GGA calculation of crystalline MnBH2 at its relaxed geometry, from the Alexandria database.

a = 2.8843 Å, b = 2.8843 Å, c = 11.6501 Å
α = 90.00°, β = 90.00°, γ = 90.00°
Space group I-42d (No. 122)
Asymmetric unit:
Mn 0.0000 0.0000 0.0000 [4 per cell]
B 0.0000 0.0000 0.5000 [4 per cell]
H 0.2242 0.2500 0.1250 [8 per cell]

Properties
Volume (Å³/cell): 96.9


No. 2
The following is a PBE-GGA calculation of crystalline SmHo2Sc7 at its relaxed geometry, from the Alexandria database.

a = 17.0953 Å, b = 4.7446 Å, c = 6.6945 Å
α = 90.00°, β = 101.87°, γ = 90.00°
Space group C2/m (No. 12)
Asymmetric unit:
Sm 0.0000 0.0000 0.0000 [2 per cell]
Ho 0.1980 0.0000 0.6019 [4 per cell]
Sc 0.0000 0.0000 0.5000 [2 per cell]
Sc 0.0991 0.5000 0.3016 [4 per cell]
Sc 0.1009 0.5000 0.8011 [4 per cell]
Sc 0.2002 0.0000 0.0992 [4 per cell]

Properties
Volume (Å³/cell): 531.4
E_form (eV per atom): 0.058


No. 3
The following is a PBE-GGA calculation of crystalline DyTm6Zr at its relaxed geometry, from the Alexandria database.

a = 4.8825 Å, b = 4.8825 Å, c = 9.7447 Å
α = 90.00°, β = 90.00°, γ = 90.00°
Space group P4/mmm (No. 123)
Asymmetric unit:
Dy 0.0000 0.0000 0.0000 [1 per cell]
Tm 0.0000 0.5000 0.2605 [4 per cell]
Tm 0.5000 0.5000 0.0000 [1 per cell]
Tm 0.5000 0.5000 0.5000 [1 per cell]
Zr 0.0000 0.0000 0.5000 [1 per cell]

Properties
Volume (Å³/cell): 232.3
E_form (eV per atom): 0.049


No. 4
The following is a PBE-GGA calculation of crystalline La2MoPt at its relaxed geometry, from the Alexandria database.

a = 3.5367 Å, b = 4.7427 Å, c = 11.9163 Å
α = 90.00°, β = 90.00°, γ = 90.00°
Space group Imm2 (No. 44)
Asymmetric unit:
La 0.0000 0.0000 0.0000 [2 per cell]
La 0.0000 0.5000 0.2117 [2 per cell]
Mo 0.0000 0.5000 0.7673 [2 per cell]
Pt 0.0000 0.0000 0.4308 [2 per cell]

Properties
Volume (Å³/cell): 199.9
E_form (eV per atom): -0.118


No. 5
The following is a PBE-GGA calculation of crystalline CdHg2Au at its relaxed geometry, from the Alexandria database.

a = 9.4032 Å, b = 3.7735 Å, c = 5.1952 Å
α = 90.00°, β = 101.87°, γ = 90.00°
Space group Cm (No. 8)
Asymmetric unit:
Cd 0.0000 0.0000 0.0000 [2 per cell]
Hg 0.0136 0.5000 0.5366 [2 per cell]
Hg 0.2537 0.5000 0.2652 [2 per cell]
Au 0.2631 0.0000 0.7903 [2 per cell]

Properties
Volume (Å³/cell): 180.4
E_form (eV per atom): 0.027


No. 6
The following is a PBE-GGA calculation of crystalline CaRe2Tc at its relaxed geometry, from the Alexandria database.

a = 2.8732 Å, b = 3.6584 Å, c = 7.0954 Å
α = 90.00°, β = 90.00°, γ = 90.00°
Space group Pmmm (No. 47)
Asymmetric unit:
Ca 0.0000 0.0000 0.0000 [1 per cell]
Re 0.5000 0.5000 0.3177 [2 per cell]
Tc 0.0000 0.0000 0.5000 [1 per cell]

Properties
Volume (Å³/cell): 74.6
E_form (eV per atom): 0.583


No. 7
The following is a PBE-GGA calculation of crystalline Li3Pu2NpS6 at its relaxed geometry, from the Alexandria database.

a = 6.8564 Å, b = 11.8762 Å, c = 6.5090 Å
α = 90.00°, β = 110.56°, γ = 90.00°
Space group C2/m (No. 12)
Asymmetric unit:
Li 0.0000 0.0000 0.0000 [2 per cell]
Li 0.0000 0.3342 0.0000 [4 per cell]
Pu 0.0000 0.1668 0.5000 [4 per cell]
Np 0.0000 0.5000 0.5000 [2 per cell]
S 0.2464 0.5000 0.2508 [4 per cell]
S 0.2483 0.3354 0.7508 [8 per cell]

Properties
Volume (Å³/cell): 496.2
Raw formation energy (eV per atom): -1.506


No. 8
The following is a PBE-GGA calculation of crystalline HgPbAu2 at its relaxed geometry, from the Alexandria database.

a = 3.5745 Å, b = 3.5745 Å, c = 7.2231 Å
α = 90.00°, β = 90.00°, γ = 90.00°
Space group P4mm (No. 99)
Asymmetric unit:
Hg 0.0000 0.0000 0.0000 [1 per cell]
Pb 0.5000 0.5000 0.3276 [1 per cell]
Au 0.0000 0.0000 0.5704 [1 per cell]
Au 0.5000 0.5000 0.7705 [1 per cell]

Properties
Volume (Å³/cell): 92.3
E_form (eV per atom): 0.012


No. 9
The following is a PBE-GGA calculation of crystalline BeCo2Pd2 at its relaxed geometry, from the Alexandria database.

a = 5.5900 Å, b = 5.5900 Å, c = 4.0620 Å
α = 90.00°, β = 90.00°, γ = 90.00°
Space group P4/mbm (No. 127)
Asymmetric unit:
Be 0.0000 0.0000 0.0000 [2 per cell]
Co 0.1383 0.3617 0.0000 [4 per cell]
Pd 0.1728 0.6728 0.5000 [4 per cell]

Properties
Volume (Å³/cell): 126.9
E_form (eV per atom): 0.139


No. 10
The following is a PBE-GGA calculation of crystalline Tm2HgPb at its relaxed geometry, from the Alexandria database.

a = 5.1591 Å, b = 5.1591 Å, c = 3.9343 Å
α = 90.00°, β = 90.00°, γ = 90.00°
Space group P4/mmm (No. 123)
Asymmetric unit:
Tm 0.0000 0.5000 0.0000 [2 per cell]
Hg 0.0000 0.0000 0.5000 [1 per cell]
Pb 0.5000 0.5000 0.5000 [1 per cell]

Properties
Volume (Å³/cell): 104.7
E_form (eV per atom): -0.413


No. 11
The following is a PBE-GGA calculation of crystalline Ce8Ir5S at its relaxed geometry, from the Alexandria database.

a = 8.8060 Å, b = 8.8060 Å, c = 8.5278 Å
α = 90.00°, β = 90.00°, γ = 90.00°
Space group I-4 (No. 82)
Asymmetric unit:
Ce 0.0588 0.1933 0.1846 [8 per cell]
Ce 0.0640 0.3129 0.5680 [8 per cell]
Ir 0.0000 0.5000 0.2500 [2 per cell]
Ir 0.1277 0.2516 0.8732 [8 per cell]
S 0.0000 0.0000 0.5000 [2 per cell]

Properties
Volume (Å³/cell): 661.3
Raw formation energy (eV per atom): -0.842


No. 12
The following is a PBE-GGA calculation of crystalline NdTlCu at its relaxed geometry, from the Alexandria database.

a = 4.7209 Å, b = 4.7209 Å, c = 3.7707 Å
α = 90.00°, β = 90.00°, γ = 120.00°
Space group P-6m2 (No. 187)
Asymmetric unit:
Nd 0.0000 0.0000 0.0000 [1 per cell]
Tl 0.6667 0.3333 0.5000 [1 per cell]
Cu 0.3333 0.6667 0.5000 [1 per cell]

Properties
Volume (Å³/cell): 72.8
E_form (eV per atom): -0.218


Listing electronic total energy for the structures above in their given order: -5.189 -5.762 -4.948 -6.800 -1.172 -8.733 -7.515 -2.629 -5.526 -3.652 -7.692 -3.962 eV/atom.